No. 1
Computed, not measured: crystalline Sc4TiCo5 at its relaxed geometry at the PBE level of DFT.

The space group is P4/mmm (No. 123) and the conventional cell measures 3.087, 3.087 and 15.546 Å, with angles of 90.00, 90.00 and 90.00 degrees. The inequivalent atoms are Sc at (0.000, 0.000, 0.101), Sc at (0.000, 0.000, 0.302), Ti at (0.000, 0.000, 0.500), Co at (0.500, 0.500, 0.000), Co at (0.500, 0.500, 0.204) and Co at (0.500, 0.500, 0.412).

The crystal system is tetragonal. As for the calculated total energy: -72.5 eV for the cell shown. The calculation puts the density of states at the Fermi level at 4.42 states/eV/f.u.

No. 2
Computed, not measured: crystalline TlRhCl2 at its relaxed geometry at the PBE level of DFT.

The space group is C2/m (No. 12) and the conventional cell measures 7.089, 4.100 and 7.078 Å, with angles of 90.00, 109.56 and 90.00 degrees. The inequivalent atoms are Tl at (0.000, 0.000, 0.000), Rh at (0.000, 0.500, 0.500) and Cl at (0.228, 0.000, 0.681).

The crystal system is monoclinic. As for the calculated total energy: -28.7 eV for the cell shown.

No. 3
Computed, not measured: crystalline Cr2C at its relaxed geometry at the PBE level of DFT.

The space group is Cmmm (No. 65) and the conventional cell measures 4.211, 9.685 and 2.800 Å, with angles of 90.00, 90.00 and 90.00 degrees. The inequivalent atoms are Cr at (0.000, 0.000, 0.000), Cr at (0.000, 0.200, 0.500), Cr at (0.000, 0.500, 0.500) and C at (0.000, 0.350, 0.000).

The crystal system is orthorhombic. As for the calculated total energy: -108.7 eV for the cell shown. The calculation puts the density of states at the Fermi level at 1.98 states/eV/f.u.

No. 4
Computed, not measured: crystalline Sm2Tm3Ru2 at its relaxed geometry at the PBE level of DFT.

The space group is C2/m (No. 12) and the conventional cell measures 11.951, 3.846 and 8.670 Å, with angles of 90.00, 115.26 and 90.00 degrees. The inequivalent atoms are Sm at (0.163, 0.000, 0.303), Tm at (0.000, 0.500, 0.500), Tm at (0.123, 0.500, 0.926) and Ru at (0.176, 0.000, 0.729).

The crystal system is monoclinic. As for the calculated total energy: -87.5 eV for the cell shown. The calculation puts the density of states at the Fermi level at 4.59 states/eV/f.u.